{"formula": "ZrCoMo2", "functional": "GGA-PBE", "state": "relaxed", "lattice": [[1.7750, -2.0974, 0.0000], [1.7750, 2.0974, 0.0000], [0.0000, 0.0000, 8.5243]], "species": ["Zr", "Co", "Mo", "Mo"], "frac_coords": [[0.0000, 0.0000, 0.0000], [0.0000, 0.0000, 0.5000], [0.5000, 0.5000, 0.2881], [0.5000, 0.5000, 0.7119]], "relative_energy_mev_per_atom": 180.3, "e_form_kj_per_mol_atoms": 16}

***

{"formula": "Sc5Si5Pt2", "functional": "GGA-PBE", "state": "relaxed", "lattice": [[7.2233, -2.0900, 0.0000], [7.2233, 2.0900, 0.0000], [-4.9505, 0.0000, 6.8587]], "species": ["Sc", "Sc", "Sc", "Sc", "Sc", "Si", "Si", "Si", "Si", "Si", "Pt", "Pt"], "frac_coords": [[0.0000, 0.0000, 0.0000], [0.1401, 0.1401, 0.4397], [0.1404, 0.1404, 0.8411], [0.8596, 0.8596, 0.1589], [0.8599, 0.8599, 0.5603], [0.2736, 0.2736, 0.2737], [0.4998, 0.4998, 0.1984], [0.5000, 0.5000, 0.5000], [0.5002, 0.5002, 0.8016], [0.7264, 0.7264, 0.7263], [0.3362, 0.3362, 0.8358], [0.6638, 0.6638, 0.1642]], "e_form_raw_ev_per_atom": -0.904}

***

{"formula": "Li2Ca8Rh", "functional": "GGA-PBE", "state": "relaxed", "lattice": [[-2.7353, 4.6713, 7.0789], [2.7353, -4.6713, 7.0789], [2.7353, 4.6713, -7.0789]], "species": ["Li", "Li", "Ca", "Ca", "Ca", "Ca", "Ca", "Ca", "Ca", "Ca", "Rh"], "frac_coords": [[0.2004, 0.2004, 0.0000], [0.7996, 0.7996, 0.0000], [0.0929, 0.3527, 0.7402], [0.1813, 0.0000, 0.1813], [0.3748, 0.8748, 0.5000], [0.3875, 0.6473, 0.7402], [0.6125, 0.3527, 0.2598], [0.6252, 0.1252, 0.5000], [0.8187, 0.0000, 0.8187], [0.9071, 0.6473, 0.2598], [0.5000, 0.5000, 0.0000]], "e_form_kj_per_mol_atoms": 4}

***

{"formula": "Ba2SmH", "functional": "GGA-PBE", "state": "relaxed", "lattice": [[1.9463, 1.1237, 10.6539], [-1.9463, 1.1237, 10.6539], [0.0000, -2.2475, 10.6539]], "species": ["Ba", "Ba", "Sm", "H"], "frac_coords": [[0.1144, 0.1144, 0.1144], [0.8856, 0.8856, 0.8856], [0.0000, 0.0000, 0.0000], [0.5000, 0.5000, 0.5000]]}

***

{"formula": "Ac2In2Pb", "functional": "GGA-PBE", "state": "relaxed", "lattice": [[2.4990, -8.4767, 0.0000], [2.4990, 8.4767, 0.0000], [0.0000, 0.0000, 3.9118]], "species": ["Ac", "Ac", "In", "In", "Pb"], "frac_coords": [[0.1184, 0.8816, 0.0000], [0.8816, 0.1184, 0.0000], [0.2981, 0.7019, 0.5000], [0.7019, 0.2981, 0.5000], [0.5000, 0.5000, 0.5000]], "relative_energy_mev_per_atom": 0.0, "e_form_kj_per_mol_atoms": -44}

***

{"formula": "Ac4In2Sn5", "functional": "GGA-PBE", "state": "relaxed", "lattice": [[8.0032, 0.0000, 0.0000], [0.0000, 4.8400, 0.0000], [-0.0029, 0.0000, 9.3596]], "species": ["Ac", "Ac", "Ac", "Ac", "In", "In", "Sn", "Sn", "Sn", "Sn", "Sn"], "frac_coords": [[0.2320, 0.0000, 0.3701], [0.2481, 0.0000, 0.8823], [0.7519, 0.0000, 0.1177], [0.7680, 0.0000, 0.6299], [0.0919, 0.5000, 0.1281], [0.9081, 0.5000, 0.8719], [0.1225, 0.5000, 0.6214], [0.4525, 0.5000, 0.1591], [0.5000, 0.5000, 0.5000], [0.5475, 0.5000, 0.8409], [0.8775, 0.5000, 0.3786]], "e_form_kj_per_mol_atoms": -59}

***

{"formula": "NbHgTe2", "functional": "GGA-PBE", "state": "relaxed", "lattice": [[1.8462, -3.1966, 0.0000], [1.8462, 3.1966, 0.0000], [-0.0420, 0.0000, 9.7824]], "species": ["Nb", "Hg", "Te", "Te"], "frac_coords": [[0.0000, 0.0000, 0.0000], [0.6683, 0.3317, 0.5000], [0.3311, 0.6646, 0.8118], [0.3354, 0.6689, 0.1882]], "relative_energy_mev_per_atom": 0.0, "e_form_raw_ev_per_atom": -0.337}

***

{"formula": "LiNd2As3Ir4", "functional": "GGA-PBE", "state": "relaxed", "lattice": [[4.1746, 0.0000, 0.0000], [0.0000, 4.1746, 0.0000], [0.0000, 0.0000, 10.4116]], "species": ["Li", "Nd", "Nd", "As", "As", "As", "Ir", "Ir", "Ir", "Ir"], "frac_coords": [[0.0000, 0.0000, 0.0000], [0.0000, 0.5000, 0.7555], [0.5000, 0.0000, 0.2445], [0.0000, 0.5000, 0.3623], [0.5000, 0.0000, 0.6377], [0.5000, 0.5000, 0.0000], [0.0000, 0.0000, 0.5000], [0.0000, 0.5000, 0.1323], [0.5000, 0.0000, 0.8677], [0.5000, 0.5000, 0.5000]], "e_form_kj_per_mol_atoms": -71}

***

{"formula": "Hf3Co2Ni3", "functional": "GGA-PBE", "state": "relaxed", "lattice": [[6.3617, 0.0000, 0.0000], [-3.1809, 5.5094, 0.0000], [0.0000, 0.0000, 3.3678]], "species": ["Hf", "Hf", "Hf", "Co", "Co", "Ni", "Ni", "Ni"], "frac_coords": [[0.0000, 0.6162, 0.0000], [0.3838, 0.3838, 0.0000], [0.6162, 0.0000, 0.0000], [0.3333, 0.6667, 0.5000], [0.6667, 0.3333, 0.5000], [0.0000, 0.2281, 0.5000], [0.2281, 0.0000, 0.5000], [0.7719, 0.7719, 0.5000]], "e_form_kj_per_mol_atoms": -38}

***

{"formula": "Cs2AgICl4", "functional": "GGA-PBE", "state": "relaxed", "lattice": [[8.2638, -5.5523, 0.0000], [8.2638, 5.5523, 0.0000], [-7.8270, 0.0000, 8.3983]], "species": ["Cs", "Cs", "Cs", "Cs", "Ag", "Ag", "I", "I", "Cl", "Cl", "Cl", "Cl", "Cl", "Cl", "Cl", "Cl"], "frac_coords": [[0.0000, 0.0000, 0.0000], [0.0000, 0.0000, 0.5000], [0.0000, 0.5000, 0.0000], [0.5000, 0.0000, 0.5000], [0.0000, 0.5000, 0.5000], [0.5000, 0.0000, 0.0000], [0.5000, 0.5000, 0.0000], [0.5000, 0.5000, 0.5000], [0.1193, 0.2258, 0.4197], [0.2258, 0.1193, 0.9197], [0.2848, 0.7075, 0.4074], [0.2925, 0.7152, 0.0926], [0.7075, 0.2848, 0.9074], [0.7152, 0.2925, 0.5926], [0.7742, 0.8807, 0.0803], [0.8807, 0.7742, 0.5803]], "e_form_raw_ev_per_atom": -1.138}

***

{"formula": "Tb2CoSi", "functional": "GGA-PBE", "state": "relaxed", "lattice": [[0.0000, 3.4583, 3.4583], [3.4583, 0.0000, 3.4583], [3.4583, 3.4583, 0.0000]], "species": ["Tb", "Tb", "Co", "Si"], "frac_coords": [[0.2500, 0.2500, 0.2500], [0.7500, 0.7500, 0.7500], [0.0000, 0.0000, 0.0000], [0.5000, 0.5000, 0.5000]], "relative_energy_mev_per_atom": 198.6, "e_form_raw_ev_per_atom": -0.324}

***

{"formula": "CaRhIN2", "functional": "GGA-PBE", "state": "relaxed", "lattice": [[4.1012, 0.0000, 0.0000], [0.0000, 4.1012, 0.0000], [0.0000, 0.0000, 5.5384]], "species": ["Ca", "Rh", "I", "N", "N"], "frac_coords": [[0.0000, 0.0000, 0.0000], [0.5000, 0.5000, 0.5000], [0.5000, 0.5000, 0.0000], [0.0000, 0.5000, 0.5000], [0.5000, 0.0000, 0.5000]], "relative_energy_mev_per_atom": 0.0, "e_form_raw_ev_per_atom": 0.619}

***

Q: Which VASP energy values were calculated for the entries above? A: -9.166, -6.809, -2.432, -2.828, -3.941, -4.423, -4.501, -6.815, -8.075, -2.825, -5.772, -4.891, in eV/atom.